Record 1
Ca2Cu6P5: optimized geometry, PBEsol.

abc: 3.9522 3.9522 12.4487
angles: 99.13 99.13 90.00
Element x y z (fractional)
Cu 0.4463 0.9463 0.8926
Cu 0.7500 0.2500 0.5000
Cu 0.2500 0.7500 0.5000
Cu 0.9463 0.4463 0.8926
Cu 0.0537 0.5537 0.1074
Cu 0.5537 0.0537 0.1074
P 0.5000 0.5000 0.0000
P 0.8023 0.8023 0.6047
P 0.1977 0.1977 0.3953
P 0.8946 0.8946 0.7893
P 0.1054 0.1054 0.2107
Ca 0.6492 0.6492 0.2983
Ca 0.3508 0.3508 0.7017

Symmetry   I4/mmm
Crystal system   tetragonal
Formation energy from the elements   -0.51 eV/atom

Record 2
SrNdO3: optimized geometry, PBEsol.

abc: 4.4527 4.4527 4.4527
angles: 90.00 90.00 90.00
Element x y z (fractional)
O 0.0000 0.5000 0.5000
O 0.5000 0.5000 0.0000
O 0.5000 0.0000 0.5000
Nd 0.5000 0.5000 0.5000
Sr 0.0000 0.0000 0.0000

Symmetry   Pm-3m
Formation energy (no corrections)   -2.381 eV/atom
Crystal system   cubic

Record 3
CoAuN2F: optimized geometry, PBEsol.

abc: 3.7686 3.7686 4.9511
angles: 90.00 90.00 90.00
Element x y z (fractional)
F 0.0000 0.0000 0.5000
N 0.0000 0.5000 0.0000
N 0.5000 0.0000 0.0000
Co 0.5000 0.5000 0.5000
Au 0.0000 0.0000 0.0000

Symmetry   P4/mmm
Formation energy (no corrections)   1.616 eV/atom
Crystal system   tetragonal